Entry 1:
Computed, not measured: a relaxed structure of SmDy4Er5 at the PBE level of DFT.

abc: 8.719 8.719 10.874
angles: 90.18 90.18 23.24
Positions (direct):
Sm 0.000 0.000 0.000
Dy 0.153 0.153 0.250
Dy 0.473 0.473 0.252
Dy 0.527 0.527 0.748
Dy 0.847 0.847 0.750
Er 0.000 0.000 0.500
Er 0.326 0.326 0.054
Er 0.327 0.327 0.449
Er 0.673 0.673 0.551
Er 0.674 0.674 0.946

## Properties
Its space group is C2/m (12). The energy of formation from the pure elements is 1.9 eV/f.u.

Entry 2:
Computed, not measured: a relaxed structure of Ti3BrF at the PBE level of DFT.

abc: 4.299 4.299 4.299
angles: 90.00 90.00 90.00
Positions (direct):
Ti 0.000 0.000 0.500
Ti 0.000 0.500 0.000
Ti 0.500 0.000 0.000
Br 0.500 0.500 0.500
F 0.000 0.000 0.000

## Properties
Its space group is Pm-3m (221). The calculation puts the uncorrected formation energy at -0.16 eV/atom.

Entry 3:
Computed, not measured: a relaxed structure of Y2P2Au at the PBE level of DFT.

abc: 7.415 7.415 3.757
angles: 90.00 90.00 90.00
Positions (direct):
Y 0.158 0.342 0.000
Y 0.342 0.842 0.000
Y 0.658 0.158 0.000
Y 0.842 0.658 0.000
P 0.155 0.655 0.500
P 0.345 0.155 0.500
P 0.655 0.845 0.500
P 0.845 0.345 0.500
Au 0.000 0.000 0.500
Au 0.500 0.500 0.500

## Properties
Its space group is P4/mbm (127). The energy of formation from the pure elements is -5.2 eV/f.u.

Entry 4:
Computed, not measured: a relaxed structure of ScRe2Ir at the PBE level of DFT.

abc: 9.296 2.825 4.944
angles: 90.00 100.62 90.00
Positions (direct):
Sc 0.000 0.000 0.000
Sc 0.500 0.500 0.000
Re 0.021 0.500 0.500
Re 0.273 0.500 0.326
Re 0.521 0.000 0.500
Re 0.773 0.000 0.326
Ir 0.248 0.000 0.811
Ir 0.748 0.500 0.811

## Properties
Its space group is Cm (8). The energy of formation from the pure elements is -0.3 eV/f.u.

Entry 5:
Computed, not measured: a relaxed structure of MgCuAg2Os at the PBE level of DFT.

abc: 4.626 4.626 4.518
angles: 90.00 90.00 90.00
Positions (direct):
Mg 0.000 0.000 0.000
Cu 0.000 0.000 0.500
Ag 0.000 0.500 0.500
Ag 0.500 0.000 0.500
Os 0.500 0.500 0.000

## Properties
Its space group is P4/mmm (123). The energy of formation from the pure elements is 6.3 eV/f.u.

Entry 6:
Computed, not measured: a relaxed structure of Li4Cu2Si3O10 at the PBE level of DFT.

abc: 5.414 5.414 16.336
angles: 96.46 96.46 61.16
Positions (direct):
Li 0.075 0.320 0.224
Li 0.178 0.333 0.552
Li 0.320 0.075 0.724
Li 0.333 0.178 0.052
Li 0.667 0.822 0.948
Li 0.680 0.925 0.276
Li 0.822 0.667 0.448
Li 0.925 0.680 0.776
Cu 0.308 0.534 0.919
Cu 0.466 0.692 0.581
Cu 0.534 0.308 0.419
Cu 0.692 0.466 0.081
Si 0.029 0.841 0.098
Si 0.159 0.971 0.402
Si 0.393 0.607 0.250
Si 0.607 0.393 0.750
Si 0.841 0.029 0.598
Si 0.971 0.159 0.902
O 0.066 0.128 0.112
O 0.103 0.689 0.189
O 0.107 0.282 0.434
O 0.128 0.066 0.612
O 0.280 0.588 0.042
O 0.282 0.107 0.934
O 0.311 0.897 0.311
O 0.341 0.433 0.797
O 0.412 0.720 0.458
O 0.433 0.341 0.297
O 0.567 0.659 0.703
O 0.588 0.280 0.542
O 0.659 0.567 0.203
O 0.689 0.103 0.689
O 0.718 0.893 0.066
O 0.720 0.412 0.958
O 0.872 0.934 0.388
O 0.893 0.718 0.566
O 0.897 0.311 0.811
O 0.934 0.872 0.888

## Properties
Its space group is C2/c (15). The calculation puts the uncorrected formation energy at -2.10 eV/atom.

Entry 7:
Computed, not measured: a relaxed structure of SmY8Er5 at the PBE level of DFT.

abc: 8.435 8.435 8.435
angles: 111.34 111.34 105.79
Positions (direct):
Sm 0.000 0.000 0.000
Y 0.083 0.670 0.759
Y 0.171 0.278 0.751
Y 0.330 0.089 0.413
Y 0.527 0.420 0.249
Y 0.580 0.829 0.107
Y 0.676 0.917 0.587
Y 0.722 0.473 0.893
Y 0.911 0.324 0.241
Er 0.212 0.613 0.179
Er 0.387 0.566 0.599
Er 0.434 0.033 0.821
Er 0.750 0.250 0.500
Er 0.967 0.788 0.401

## Properties
Its space group is I-4 (82). The energy of formation from the pure elements is 3.5 eV/f.u.

Entry 8:
Computed, not measured: a relaxed structure of TlH2Ir at the PBE level of DFT.

abc: 6.063 6.063 5.488
angles: 90.00 90.00 90.00
Positions (direct):
Tl 0.000 0.000 0.000
Tl 0.000 0.500 0.250
Tl 0.500 0.000 0.750
Tl 0.500 0.500 0.500
H 0.095 0.250 0.625
H 0.250 0.595 0.875
H 0.250 0.905 0.375
H 0.405 0.250 0.125
H 0.595 0.750 0.125
H 0.750 0.095 0.375
H 0.750 0.405 0.875
H 0.905 0.750 0.625
Ir 0.000 0.000 0.500
Ir 0.000 0.500 0.750
Ir 0.500 0.000 0.250
Ir 0.500 0.500 0.000

## Properties
Its space group is I-42d (122). For the total DFT energy (no corrections), the calculation gives -4.259 eV per atom.

Entry 9:
Computed, not measured: a relaxed structure of Ta2TlSbF at the PBE level of DFT.

abc: 5.298 5.298 4.392
angles: 90.00 90.00 90.00
Positions (direct):
Ta 0.000 0.500 0.000
Ta 0.500 0.000 0.000
Tl 0.000 0.000 0.000
Sb 0.500 0.500 0.500
F 0.000 0.000 0.500

## Properties
Its space group is P4/mmm (123). The calculation puts the uncorrected formation energy at 1.16 eV/atom.

Entry 10:
Computed, not measured: a relaxed structure of NdTmZnIn at the PBE level of DFT.

abc: 3.668 3.668 7.545
angles: 90.00 90.00 90.00
Positions (direct):
Nd 0.000 0.000 0.000
Tm 0.000 0.000 0.461
Zn 0.500 0.500 0.254
In 0.500 0.500 0.715

## Properties
Its space group is P4mm (99). The energy of formation from the pure elements is -1.6 eV/f.u.

Entry 11:
Computed, not measured: a relaxed structure of Ca2TlCl at the PBE level of DFT.

abc: 7.781 7.781 7.781
angles: 90.00 90.00 90.00
Positions (direct):
Ca 0.250 0.250 0.250
Ca 0.250 0.250 0.750
Ca 0.250 0.750 0.250
Ca 0.250 0.750 0.750
Ca 0.750 0.250 0.250
Ca 0.750 0.250 0.750
Ca 0.750 0.750 0.250
Ca 0.750 0.750 0.750
Tl 0.000 0.000 0.000
Tl 0.000 0.500 0.500
Tl 0.500 0.000 0.500
Tl 0.500 0.500 0.000
Cl 0.000 0.000 0.500
Cl 0.000 0.500 0.000
Cl 0.500 0.000 0.000
Cl 0.500 0.500 0.500

## Properties
Its space group is Fm-3m (225). The calculation puts the uncorrected formation energy at -0.68 eV/atom.

Entry 12:
Computed, not measured: a relaxed structure of KCd2P2 at the PBE level of DFT.

abc: 4.912 4.912 10.316
angles: 90.00 90.00 90.00
Positions (direct):
K 0.000 0.000 0.000
K 0.500 0.500 0.500
Cd 0.000 0.000 0.357
Cd 0.000 0.000 0.643
Cd 0.500 0.500 0.143
Cd 0.500 0.500 0.857
P 0.000 0.500 0.250
P 0.000 0.500 0.750
P 0.500 0.000 0.250
P 0.500 0.000 0.750

## Properties
Its space group is I4/mmm (139). The energy of formation from the pure elements is 0.1 eV/f.u.